No. 1
Computed, not measured: a relaxed LiMo2Rh crystal at the PBE level of DFT.

Cell and atoms, written as POSCAR:
```
LiMo2Rh
1.0
2.591 -4.191 0.000
2.591 4.191 0.000
0.000 0.000 2.687
Li Mo Rh
1 2 1
Direct
0.000 0.000 0.000
0.000 0.500 0.500
0.500 0.000 0.500
0.500 0.500 0.000
```

Output
space group: No. 65
DFT total energy: -30.27 eV per cell
energy above the most stable polymorph in this dataset: 0.45 eV per formula unit
energy of formation: 0.66 eV/f.u.
DOS at the Fermi energy: 4.44 states/eV/cell
spin magnetization: 0.0 μB per formula unit

No. 2
Computed, not measured: a relaxed LiMo2Rh crystal at the PBE level of DFT.

Cell and atoms, written as POSCAR:
```
LiMo2Rh
1.0
3.041 0.000 0.000
0.000 4.209 0.000
0.000 0.000 4.535
Li Mo Rh
1 2 1
Direct
0.000 0.000 0.000
0.000 0.500 0.500
0.500 0.000 0.500
0.500 0.500 0.000
```

Output
space group: No. 47
DFT total energy: -30.37 eV per cell
energy above the most stable polymorph in this dataset: 0.35 eV per formula unit
energy of formation: 0.56 eV/f.u.
DOS at the Fermi energy: 4.69 states/eV/cell
spin magnetization: 0.0 μB per formula unit

No. 3
Computed, not measured: a relaxed LiMo3Rh crystal at the PBE level of DFT.

Cell and atoms, written as POSCAR:
```
LiMo3Rh
1.0
4.182 0.000 0.000
0.000 4.182 0.000
0.000 0.000 4.182
Li Mo Rh
1 3 1
Direct
0.000 0.000 0.000
0.000 0.000 0.500
0.000 0.500 0.000
0.500 0.000 0.000
0.500 0.500 0.500
```

Output
space group: No. 221
DFT total energy: -36.05 eV per cell
energy above the most stable polymorph in this dataset: 0.00 eV per formula unit
energy of formation: 5.71 eV/f.u.
DOS at the Fermi energy: 4.08 states/eV/cell
spin magnetization: 0.0 μB per formula unit

No. 4
Computed, not measured: a relaxed LiMoRh2 crystal at the PBE level of DFT.

Cell and atoms, written as POSCAR:
```
LiMoRh2
1.0
1.395 0.806 8.649
-1.395 0.806 8.649
0.000 -1.611 8.649
Li Mo Rh
1 1 2
Direct
0.000 0.000 0.000
0.500 0.500 0.500
0.249 0.249 0.249
0.751 0.751 0.751
```

Output
space group: No. 166
DFT total energy: -27.95 eV per cell
energy above the most stable polymorph in this dataset: 0.26 eV per formula unit
energy of formation: -0.51 eV/f.u.
DOS at the Fermi energy: 4.59 states/eV/cell
spin magnetization: 0.0 μB per formula unit

No. 5
Computed, not measured: a relaxed LiMo3Rh4 crystal at the PBE level of DFT.

Cell and atoms, written as POSCAR:
```
LiMo3Rh4
1.0
-1.968 1.968 7.402
1.968 -1.968 7.402
1.968 1.968 -7.402
Li Mo Rh
1 3 4
Direct
0.000 0.000 0.000
0.246 0.246 0.000
0.500 0.500 0.000
0.754 0.754 0.000
0.119 0.619 0.500
0.381 0.881 0.500
0.619 0.119 0.500
0.881 0.381 0.500
```

Output
space group: No. 139
DFT total energy: -64.91 eV per cell
energy of formation: -1.10 eV/f.u.
DOS at the Fermi energy: 5.50 states/eV/cell
spin magnetization: 0.0 μB per formula unit

No. 6
Computed, not measured: a relaxed Li2MoRh6 crystal at the PBE level of DFT.

Cell and atoms, written as POSCAR:
```
Li2MoRh6
1.0
2.343 -6.741 0.000
2.343 6.741 0.000
-2.217 0.000 4.007
Li Mo Rh
2 1 6
Direct
0.168 0.832 0.000
0.832 0.168 0.000
0.000 0.000 0.500
0.163 0.496 0.668
0.321 0.321 0.161
0.496 0.163 0.668
0.504 0.837 0.332
0.679 0.679 0.839
0.837 0.504 0.332
```

Output
space group: No. 12
DFT total energy: -58.64 eV per cell
energy of formation: 0.12 eV/f.u.
DOS at the Fermi energy: 10.08 states/eV/cell
spin magnetization: 0.0 μB per formula unit

No. 7
Computed, not measured: a relaxed LiMoRh crystal at the PBE level of DFT.

Cell and atoms, written as POSCAR:
```
LiMoRh
1.0
4.279 0.000 0.000
-2.139 3.705 0.000
0.000 0.000 2.669
Li Mo Rh
1 1 1
Direct
0.000 0.000 0.000
0.667 0.333 0.385
0.333 0.667 0.674
```

Output
space group: No. 156
DFT total energy: -19.93 eV per cell
energy above the most stable polymorph in this dataset: 0.01 eV per formula unit
energy of formation: 0.17 eV/f.u.
DOS at the Fermi energy: 3.43 states/eV/cell
spin magnetization: 0.0 μB per formula unit

No. 8
Computed, not measured: a relaxed LiMo2Rh crystal at the PBE level of DFT.

Cell and atoms, written as POSCAR:
```
LiMo2Rh
1.0
4.381 -1.345 0.000
4.381 1.345 0.000
-0.485 0.000 4.976
Li Mo Rh
1 2 1
Direct
0.000 0.000 0.000
0.245 0.245 0.763
0.485 0.485 0.489
0.746 0.746 0.236
```

Output
space group: No. 8
DFT total energy: -30.27 eV per cell
energy above the most stable polymorph in this dataset: 0.45 eV per formula unit
energy of formation: 0.66 eV/f.u.
DOS at the Fermi energy: 3.41 states/eV/cell
spin magnetization: 0.0 μB per formula unit

No. 9
Computed, not measured: a relaxed LiMo2Rh crystal at the PBE level of DFT.

Cell and atoms, written as POSCAR:
```
LiMo2Rh
1.0
-3.578 3.578 2.500
3.578 -3.578 2.500
3.578 3.578 -2.500
Li Mo Rh
2 4 2
Direct
0.000 0.000 0.000
0.750 0.250 0.500
0.148 0.125 0.523
0.375 0.852 0.977
0.602 0.625 0.477
0.875 0.398 0.023
0.250 0.750 0.500
0.500 0.500 0.000
```

Output
space group: No. 122
DFT total energy: -57.00 eV per cell
energy above the most stable polymorph in this dataset: 2.22 eV per formula unit
energy of formation: 2.43 eV/f.u.
DOS at the Fermi energy: 5.28 states/eV/cell
spin magnetization: 0.0 μB per formula unit

No. 10
Computed, not measured: a relaxed LiMoRh crystal at the PBE level of DFT.

Cell and atoms, written as POSCAR:
```
LiMoRh
1.0
0.000 2.246 6.816
1.462 0.000 6.816
1.462 2.246 0.000
Li Mo Rh
1 1 1
Direct
0.000 0.000 0.000
0.320 0.320 0.680
0.660 0.660 0.340
```

Output
space group: No. 42
DFT total energy: -19.74 eV per cell
energy above the most stable polymorph in this dataset: 0.20 eV per formula unit
energy of formation: 0.35 eV/f.u.
DOS at the Fermi energy: 2.21 states/eV/cell
spin magnetization: 0.0 μB per formula unit

No. 11
Computed, not measured: a relaxed LiMo2Rh crystal at the PBE level of DFT.

Cell and atoms, written as POSCAR:
```
LiMo2Rh
1.0
1.542 -2.151 0.000
1.542 2.151 0.000
0.000 0.000 9.278
Li Mo Rh
1 2 1
Direct
0.000 0.000 0.000
0.500 0.500 0.260
0.500 0.500 0.740
0.000 0.000 0.500
```

Output
space group: No. 65
DFT total energy: -29.82 eV per cell
energy above the most stable polymorph in this dataset: 0.90 eV per formula unit
energy of formation: 1.11 eV/f.u.
DOS at the Fermi energy: 4.73 states/eV/cell
spin magnetization: 0.0 μB per formula unit

No. 12
Computed, not measured: a relaxed LiMoRh2 crystal at the PBE level of DFT.

Cell and atoms, written as POSCAR:
```
LiMoRh2
1.0
2.398 -1.387 0.000
2.398 1.387 0.000
-1.589 0.000 8.725
Li Mo Rh
1 1 2
Direct
0.000 0.000 0.000
0.835 0.835 0.499
0.417 0.417 0.253
0.582 0.582 0.745
```

Output
space group: No. 8
DFT total energy: -28.08 eV per cell
energy above the most stable polymorph in this dataset: 0.13 eV per formula unit
energy of formation: -0.64 eV/f.u.
DOS at the Fermi energy: 2.89 states/eV/cell
spin magnetization: 0.0 μB per formula unit

No. 13
Computed, not measured: a relaxed LiMoRh2 crystal at the PBE level of DFT.

Cell and atoms, written as POSCAR:
```
LiMoRh2
1.0
4.571 -1.369 0.000
4.571 1.369 0.000
-0.748 0.000 4.568
Li Mo Rh
1 1 2
Direct
0.000 0.000 0.000
0.770 0.770 0.322
0.249 0.249 0.830
0.518 0.518 0.510
```

Output
space group: No. 8
DFT total energy: -27.72 eV per cell
energy above the most stable polymorph in this dataset: 0.50 eV per formula unit
energy of formation: -0.27 eV/f.u.
DOS at the Fermi energy: 3.98 states/eV/cell
spin magnetization: 0.0 μB per formula unit

No. 14
Computed, not measured: a relaxed LiMo2Rh crystal at the PBE level of DFT.

Cell and atoms, written as POSCAR:
```
LiMo2Rh
1.0
2.704 0.000 0.000
0.000 4.230 0.000
-1.007 0.000 5.045
Li Mo Rh
1 2 1
Direct
0.000 0.000 0.000
0.476 0.500 0.240
0.524 0.500 0.760
0.000 0.000 0.500
```

Output
space group: No. 10
DFT total energy: -30.48 eV per cell
energy above the most stable polymorph in this dataset: 0.24 eV per formula unit
energy of formation: 0.45 eV/f.u.
DOS at the Fermi energy: 3.47 states/eV/cell
spin magnetization: 0.0 μB per formula unit

No. 15
Computed, not measured: a relaxed LiMo2Rh crystal at the PBE level of DFT.

Cell and atoms, written as POSCAR:
```
LiMo2Rh
1.0
-1.541 2.282 4.242
1.541 -2.282 4.242
1.541 2.282 -4.242
Li Mo Rh
1 2 1
Direct
0.000 0.000 0.000
0.272 0.772 0.500
0.498 0.498 0.000
0.752 0.252 0.500
```

Output
space group: No. 44
DFT total energy: -30.18 eV per cell
energy above the most stable polymorph in this dataset: 0.54 eV per formula unit
energy of formation: 0.75 eV/f.u.
DOS at the Fermi energy: 2.98 states/eV/cell
spin magnetization: 0.0 μB per formula unit